## Gd2AlTl (PBE)

Data for an optimized crystal structure of Gd2AlTl.

Calculated values
Density of states at the Fermi level = 3.04 states/eV/cell
VASP energy = -8.917 eV/atom
E_form = -0.35 eV/atom
Energy above the most stable polymorph in this dataset = 28 meV/atom

Lattice parameters (Å, degrees): 4.913 4.913 4.321 90.00 90.00 90.00
Element x y z (fractional)
Gd 0.000 0.500 0.000
Gd 0.500 0.000 0.000
Al 0.000 0.000 0.500
Tl 0.500 0.500 0.500